Record 1
Density functional theory data (GGA-PBE) for an optimized crystal structure of Rb2PdCl.

```
data_Rb2PdCl
_chemical_formula_sum 'Rb2 Pd1 Cl1'
_cell_length_a 5.7337
_cell_length_b 5.7337
_cell_length_c 5.7337
_cell_angle_alpha 60.00
_cell_angle_beta 60.00
_cell_angle_gamma 60.00
_space_group_name_H-M_alt 'P 1'
_space_group_IT_number 1
_space_group_name_Hall 'P 1'
loop_
_atom_site_label
_atom_site_type_symbol
_atom_site_fract_x
_atom_site_fract_y
_atom_site_fract_z
Rb1 Rb 0.2500 0.2500 0.2500
Rb2 Rb 0.7500 0.7500 0.7500
Pd1 Pd 0.0000 0.0000 0.0000
Cl1 Cl 0.5000 0.5000 0.5000
```

Output
E above lowest polymorph, kJ/mol of formula units: 1
E, eV/atom: -2.76

=====

Record 2
Density functional theory data (GGA-PBE) for an optimized crystal structure of ReOsPt2.

```
data_ReOsPt2
_chemical_formula_sum 'Re1 Os1 Pt2'
_cell_length_a 9.3184
_cell_length_b 9.3184
_cell_length_c 9.3184
_cell_angle_alpha 17.02
_cell_angle_beta 17.02
_cell_angle_gamma 17.02
_space_group_name_H-M_alt 'P 1'
_space_group_IT_number 1
_space_group_name_Hall 'P 1'
loop_
_atom_site_label
_atom_site_type_symbol
_atom_site_fract_x
_atom_site_fract_y
_atom_site_fract_z
Re1 Re 0.0000 0.0000 0.0000
Os1 Os 0.2572 0.2572 0.2572
Pt1 Pt 0.5048 0.5048 0.5048
Pt2 Pt 0.7503 0.7503 0.7503
```

Output
E above lowest polymorph, kJ/mol of formula units: 0
E, eV/atom: -9.02

=====

Which formula does entry 1 have? Rb2PdCl

=====

Which of these has the highest E above lowest polymorph? Rb2PdCl

=====

Which of these has the lowest E above lowest polymorph? ReOsPt2

=====

Copy entry 2 word for word.
Density functional theory data (GGA-PBE) for an optimized crystal structure of ReOsPt2.

```
data_ReOsPt2
_chemical_formula_sum 'Re1 Os1 Pt2'
_cell_length_a 9.3184
_cell_length_b 9.3184
_cell_length_c 9.3184
_cell_angle_alpha 17.02
_cell_angle_beta 17.02
_cell_angle_gamma 17.02
_space_group_name_H-M_alt 'P 1'
_space_group_IT_number 1
_space_group_name_Hall 'P 1'
loop_
_atom_site_label
_atom_site_type_symbol
_atom_site_fract_x
_atom_site_fract_y
_atom_site_fract_z
Re1 Re 0.0000 0.0000 0.0000
Os1 Os 0.2572 0.2572 0.2572
Pt1 Pt 0.5048 0.5048 0.5048
Pt2 Pt 0.7503 0.7503 0.7503
```

Output
E above lowest polymorph, kJ/mol of formula units: 0
E, eV/atom: -9.02